DFT (GGA-PBE) results for an optimized crystal structure of ZrCd2Te.

POSCAR file:
```
ZrCd2Te
1.0
0.000 3.615 3.615
3.615 0.000 3.615
3.615 3.615 0.000
Zr Cd Te
1 2 1
direct
0.000 0.000 0.000 Zr
0.500 0.500 0.500 Cd
0.750 0.750 0.750 Cd
0.250 0.250 0.250 Te
```

Computed properties:
The calculation puts the uncorrected formation energy at 18 meV/atom. The value obtained for the magnetization is 0.0 μB/f.u. The calculated density comes out at 7.8 g/cm3. The value obtained for the density of states at the Fermi level is 2.98 states/eV/f.u.